The following is a PBE with a Hubbard U calculation of a geometry-optimized K2ScW3O12 structure, from the Alexandria database.

Summary:
- Calculated total energy: -128.27 eV per cell
- Fermi-level density of states: 0.6198 states/eV per atom
- V: 16.26 Å³ per atom
- SG: R-3m

Unit cell a=7.4576 b=7.4576 c=7.4576 alpha=59.91 beta=59.91 gamma=59.91
With the nearest neighbours (Å) after each atom.
Atoms (fractional coordinates):
K  0.1499  0.1499  0.1499  3 O 2.96
K  0.8501  0.8501  0.8501  3 O 2.96
Sc  0.5000  0.5000  0.5000  6 O 2.11
W  0.0000  0.5000  0.5000  6 O 1.90-1.96
W  0.5000  0.0000  0.5000  6 O 1.90-1.96
W  0.5000  0.5000  0.0000  6 O 1.90-1.96
O  0.1648  0.5702  0.5702  1 W 1.90, 1 Sc 2.11
O  0.1929  0.1929  0.5629  2 W 1.96
O  0.1929  0.5629  0.1929  2 W 1.96
O  0.4298  0.4298  0.8352  1 W 1.90, 1 Sc 2.11
O  0.4298  0.8352  0.4298  1 W 1.90, 1 Sc 2.11
O  0.4371  0.8071  0.8071  2 W 1.96
O  0.5629  0.1929  0.1929  2 W 1.96
O  0.5702  0.1648  0.5702  1 W 1.90, 1 Sc 2.11
O  0.5702  0.5702  0.1648  1 W 1.90, 1 Sc 2.11
O  0.8071  0.4371  0.8071  2 W 1.96
O  0.8071  0.8071  0.4371  2 W 1.96
O  0.8352  0.4298  0.4298  1 W 1.90, 1 Sc 2.11